DFT (PBE with a Hubbard U) results for an optimized crystal structure of Mg2TiWO6.

Output
Its energy relative to the lowest polymorph listed for this composition is 0.029 eV per atom. The raw total energy is -7.311 eV per atom.

Cell: 5.544 5.544 5.544 Å, 56.06 56.06 56.06°
Last column: magnetic moment on the atom in μB.
Atoms (fractional coordinates):
Mg (0.774, 0.774, 0.774)  0.00
Mg (0.277, 0.277, 0.277)  0.00
Ti (0.485, 0.485, 0.485)  0.25
W (0.982, 0.982, 0.982)  1.71
O (0.857, 0.589, 0.209)  -0.01
O (0.097, 0.369, 0.693)  -0.02
O (0.369, 0.693, 0.097)  -0.02
O (0.693, 0.097, 0.369)  -0.02
O (0.209, 0.857, 0.589)  -0.01
O (0.589, 0.209, 0.857)  -0.01